# NbCrSb2 (PBE-GGA, optimized geometry)
data_NbCrSb2
_cell_length_a 3.1539
_cell_length_b 3.1539
_cell_length_c 28.6736
_cell_angle_alpha 90.00
_cell_angle_beta 90.00
_cell_angle_gamma 120.00
_symmetry_space_group_name_H-M 'R -3 m'
_symmetry_Int_Tables_number 166
_symmetry_space_group_name_Hall '-R 3 2"'
loop_
_atom_site_label
_atom_site_fract_x
_atom_site_fract_y
_atom_site_fract_z
Nb1 0.0000 0.0000 0.0000
Cr1 0.0000 0.0000 0.5000
Sb1 0.0000 0.0000 0.0995
# * formation energy from raw total energies: 0.460 eV/atom
# * VASP energy: -0.240 Ha/atom
# * excess energy over the best structure of this formula in the dataset: 287 meV per atom
# * M_tot: 0.70 μB per formula unit

***

# NbCr2Sb (PBE-GGA, optimized geometry)
data_NbCr2Sb
_cell_length_a 6.269
_cell_length_b 6.269
_cell_length_c 6.269
_cell_angle_alpha 90.00
_cell_angle_beta 90.00
_cell_angle_gamma 90.00
_symmetry_space_group_name_H-M 'F m -3 m'
_symmetry_Int_Tables_number 225
_symmetry_space_group_name_Hall '-F 4 2 3'
loop_
_atom_site_label
_atom_site_fract_x
_atom_site_fract_y
_atom_site_fract_z
Nb1 0.000 0.000 0.000
Cr1 0.250 0.250 0.250
Sb1 0.000 0.000 0.500
# * formation energy from raw total energies: 0.101 eV/atom
# * VASP energy: -0.304 Ha/atom
# * excess energy over the best structure of this formula in the dataset: 0 meV per atom
# * M_tot: 2.00 μB per formula unit

***

# NbCr3Sb (PBE-GGA, optimized geometry)
data_NbCr3Sb
_cell_length_a 4.892
_cell_length_b 4.892
_cell_length_c 4.892
_cell_angle_alpha 90.00
_cell_angle_beta 90.00
_cell_angle_gamma 90.00
_symmetry_space_group_name_H-M 'P m -3 m'
_symmetry_Int_Tables_number 221
_symmetry_space_group_name_Hall '-P 4 2 3'
loop_
_atom_site_label
_atom_site_fract_x
_atom_site_fract_y
_atom_site_fract_z
Nb1 0.000 0.000 0.000
Cr1 0.000 0.500 0.500
Sb1 0.500 0.500 0.500
# * formation energy from raw total energies: 1.592 eV/atom
# * VASP energy: -0.258 Ha/atom
# * excess energy over the best structure of this formula in the dataset: 223 meV per atom
# * M_tot: 7.92 μB per formula unit

***

# NbCrSb2 (PBE-GGA, optimized geometry)
data_NbCrSb2
_cell_length_a 6.315
_cell_length_b 6.315
_cell_length_c 12.493
_cell_angle_alpha 90.00
_cell_angle_beta 90.00
_cell_angle_gamma 90.00
_symmetry_space_group_name_H-M 'I -4 2 d'
_symmetry_Int_Tables_number 122
_symmetry_space_group_name_Hall 'I -4 2bw'
loop_
_atom_site_label
_atom_site_fract_x
_atom_site_fract_y
_atom_site_fract_z
Nb1 0.000 0.000 0.000
Cr1 0.000 0.000 0.500
Sb1 0.248 0.250 0.625
# * formation energy from raw total energies: 0.647 eV/atom
# * VASP energy: -0.233 Ha/atom
# * excess energy over the best structure of this formula in the dataset: 475 meV per atom
# * M_tot: 5.00 μB per formula unit